[1]
Ti4Nb2Sb | PBE-GGA | relaxed

a = 4.9534 Å, b = 4.9534 Å, c = 7.3321 Å
α = 70.26°, β = 70.26°, γ = 90.00°
With the nearest neighbours (Å) after each atom.
Element x y z (fractional)
1 Sb 0.0000 0.0000 0.0000  6 Ti 2.48-2.65
2 Nb 0.3908 0.3908 0.2184  1 Ti 2.38
3 Nb 0.6092 0.6092 0.7816  1 Ti 2.38
4 Ti 0.2059 0.2059 0.5882  1 Nb 2.38, 1 Sb 2.65
5 Ti 0.7941 0.7941 0.4118  1 Nb 2.38, 1 Sb 2.65
6 Ti 0.0000 0.5000 0.0000  2 Sb 2.48
7 Ti 0.5000 0.0000 0.0000  2 Sb 2.48

Values from the calculation:
- space-group type = I4/mmm (139)
- density (g/cm3) = 5.243
- total energy (eV per atom) = -7.016
- E_form (uncorrected) (kJ per mole of atoms) = 93
- spin magnetization (μB/cell) = 0.783

[2]
TlPdPt | PBE-GGA | relaxed

a = 5.3868 Å, b = 5.5007 Å, c = 5.5007 Å
α = 90.21°, β = 60.17°, γ = 60.17°
With the nearest neighbours (Å) after each atom.
Element x y z (fractional)
1 Tl 0.2106 0.8960 0.3268  6 Pd 3.15-3.25, 6 Pt 3.20-3.24, 4 Tl 3.35
2 Tl 0.7106 0.6398 0.5830  6 Pd 3.15-3.25, 6 Pt 3.19-3.24, 4 Tl 3.35
3 Pd 0.9608 0.7677 0.9549  4 Pt 2.73-2.75, 2 Pd 2.76
4 Pd 0.4608 0.2679 0.4547  4 Pt 2.73-2.75, 2 Pd 2.76
5 Pt 0.4608 0.2676 0.9547  2 Pt 2.69, 4 Pd 2.73-2.75
6 Pt 0.9608 0.2678 0.9546  2 Pt 2.69, 4 Pd 2.73-2.75

Values from the calculation:
- space-group type = C2/c (15)
- density (g/cm3) = 14.528
- energy of formation from the pure elements (eV per atom) = -0.05
- ΔE to the lowest computed polymorph (kcal/mol of atoms) = 0.00
- total energy (eV per atom) = -4.587
- spin magnetization (μB/cell) = 0.000

[3]
PuSb2Au10 | PBE-GGA | relaxed

a = 6.8799 Å, b = 7.1381 Å, c = 7.3942 Å
α = 77.04°, β = 62.28°, γ = 61.19°
With the nearest neighbours (Å) after each atom.
Element x y z (fractional)
1 Pu 0.0000 0.0000 0.0000  4 Au 3.04
2 Sb 0.0000 0.0000 0.5000  8 Au 2.90-2.95
3 Sb 0.5000 0.0000 0.5000  8 Au 2.90-2.95
4 Au 0.9963 0.3394 0.6680  5 Au 2.84-3.05, 2 Sb 2.95, 1 Pu 3.04
5 Au 0.0037 0.6606 0.3320  5 Au 2.84-3.05, 2 Sb 2.95, 1 Pu 3.04
6 Au 0.6643 0.3394 0.3320  5 Au 2.84-3.05, 2 Sb 2.95, 1 Pu 3.04
7 Au 0.3357 0.6606 0.6680  5 Au 2.84-3.05, 2 Sb 2.95, 1 Pu 3.04
8 Au 0.5000 0.5000 0.0000  8 Au 2.81-2.95
9 Au 0.0000 0.5000 0.0000  8 Au 2.81-2.95
10 Au 0.5044 0.7765 0.2147  6 Au 2.80-3.05, 2 Sb 2.90
11 Au 0.4956 0.2235 0.7853  6 Au 2.80-3.05, 2 Sb 2.90
12 Au 0.7191 0.7765 0.7853  6 Au 2.80-3.05, 2 Sb 2.90
13 Au 0.2809 0.2235 0.2147  6 Au 2.80-3.05, 2 Sb 2.90

Values from the calculation:
- space-group type = Fmmm (69)
- density (g/cm3) = 14.487
- total energy (eV per atom) = -4.300
- E_form (uncorrected) (kJ per mole of atoms) = -4
- spin magnetization (μB/cell) = 5.729

[4]
K2CdHg2 | PBE-GGA | relaxed

a = 4.4525 Å, b = 4.4525 Å, c = 10.3694 Å
α = 77.60°, β = 77.60°, γ = 90.00°
With the nearest neighbours (Å) after each atom.
Element x y z (fractional)
1 K 0.3923 0.3923 0.2154  4 Hg 3.59, 4 Cd 3.80
2 K 0.6077 0.6077 0.7846  4 Hg 3.59, 4 Cd 3.80
3 Hg 0.7500 0.2500 0.5000  4 Hg 3.15
4 Hg 0.2500 0.7500 0.5000  4 Hg 3.15
5 Cd 0.0000 0.0000 0.0000  8 K 3.80

Values from the calculation:
- space-group type = I4/mmm (139)
- density (g/cm3) = 5.017
- energy of formation from the pure elements (eV per atom) = -0.11
- ΔE to the lowest computed polymorph (kcal/mol of atoms) = 2.54
- total energy (eV per atom) = -0.850
- spin magnetization (μB/cell) = 0.000

[5]
Ho2SCl | PBE-GGA | relaxed

a = 3.7517 Å, b = 3.7517 Å, c = 7.5697 Å
α = 75.65°, β = 75.65°, γ = 60.00°
With the nearest neighbours (Å) after each atom.
Element x y z (fractional)
1 S 0.0000 0.0000 0.0000  6 Ho 2.64
2 Ho 0.7358 0.7358 0.7926  3 S 2.64
3 Ho 0.2642 0.2642 0.2074  3 S 2.64
4 Cl 0.5000 0.5000 0.5000  6 Ho 3.03

Values from the calculation:
- space-group type = R-3m (166)
- density (g/cm3) = 7.463
- ΔE to the lowest computed polymorph (kcal/mol of atoms) = 0.00
- total energy (eV per atom) = -5.327
- E_form (uncorrected) (kJ per mole of atoms) = -149
- spin magnetization (μB/cell) = 0.000

[6]
AsPtW2 | PBE-GGA | relaxed

a = 9.0438 Å, b = 9.0438 Å, c = 9.0438 Å
α = 18.24°, β = 18.24°, γ = 18.24°
With the nearest neighbours (Å) after each atom.
Element x y z (fractional)
1 As 0.2500 0.2500 0.2500  6 W 2.73, 6 As 2.87
2 W 0.9983 0.9983 0.9983  3 As 2.73, 3 Pt 2.81, 6 W 2.87
3 W 0.5017 0.5017 0.5017  3 As 2.73, 3 Pt 2.81, 6 W 2.87
4 Pt 0.7500 0.7500 0.7500  6 W 2.81, 6 Pt 2.87

Values from the calculation:
- space-group type = R-3m (166)
- density (g/cm3) = 16.728
- energy of formation from the pure elements (eV per atom) = 0.21
- total energy (eV per atom) = -8.941
- spin magnetization (μB/cell) = 0.000

[7]
MoRh2Br | PBE-GGA | relaxed

a = 2.8638 Å, b = 2.9076 Å, c = 8.1927 Å
α = 90.05°, β = 90.00°, γ = 90.00°
With the nearest neighbours (Å) after each atom.
Element x y z (fractional)
1 Mo 0.5000 0.7500 0.7500  8 Rh 2.70, 4 Mo 2.86-2.91
2 Rh 0.0000 0.2506 0.9661  4 Mo 2.70, 2 Br 2.73, 4 Rh 2.86-2.91
3 Rh 0.0000 0.2494 0.5339  4 Mo 2.70, 2 Br 2.73, 4 Rh 2.86-2.91
4 Br 0.5000 0.2500 0.2500  4 Rh 2.73, 4 Br 2.86-2.91

Values from the calculation:
- space-group type = Pmmm (47)
- density (g/cm3) = 9.290
- ΔE to the lowest computed polymorph (kcal/mol of atoms) = 0.00
- total energy (eV per atom) = -6.632
- E_form (uncorrected) (kJ per mole of atoms) = 16
- spin magnetization (μB/cell) = 0.000

[8]
LaTb3Pr3 | PBE-GGA | relaxed

a = 5.8879 Å, b = 9.7957 Å, c = 9.7957 Å
α = 120.00°, β = 90.00°, γ = 90.00°
With the nearest neighbours (Å) after each atom.
Element x y z (fractional)
1 La 0.2500 0.6667 0.3333  9 Pr 3.64-3.71, 3 Tb 3.75
2 La 0.7500 0.3333 0.6667  9 Pr 3.64-3.71, 3 Tb 3.75
3 Tb 0.2500 0.8135 0.7682  6 Tb 3.61, 5 Pr 3.66-3.77, 1 La 3.75
4 Tb 0.2500 0.2318 0.0453  6 Tb 3.61, 5 Pr 3.66-3.77, 1 La 3.75
5 Tb 0.2500 0.9547 0.1865  6 Tb 3.61, 5 Pr 3.66-3.77, 1 La 3.75
6 Tb 0.7500 0.1865 0.2318  6 Tb 3.61, 5 Pr 3.66-3.77, 1 La 3.75
7 Tb 0.7500 0.7682 0.9547  6 Tb 3.61, 5 Pr 3.66-3.77, 1 La 3.75
8 Tb 0.7500 0.0453 0.8135  6 Tb 3.61, 5 Pr 3.66-3.77, 1 La 3.75
9 Pr 0.7500 0.6214 0.5263  3 La 3.64-3.71, 4 Pr 3.66-3.72, 5 Tb 3.66-3.77
10 Pr 0.7500 0.4737 0.0951  3 La 3.64-3.71, 4 Pr 3.66-3.72, 5 Tb 3.66-3.77
11 Pr 0.7500 0.9049 0.3786  3 La 3.64-3.71, 4 Pr 3.66-3.72, 5 Tb 3.66-3.77
12 Pr 0.2500 0.3786 0.4737  3 La 3.64-3.71, 4 Pr 3.66-3.72, 5 Tb 3.66-3.77
13 Pr 0.2500 0.5263 0.9049  3 La 3.64-3.71, 4 Pr 3.66-3.72, 5 Tb 3.66-3.77
14 Pr 0.2500 0.0951 0.6214  3 La 3.64-3.71, 4 Pr 3.66-3.72, 5 Tb 3.66-3.77

Values from the calculation:
- space-group type = P6_3/m (176)
- density (g/cm3) = 7.048
- energy of formation from the pure elements (eV per atom) = 0.03
- ΔE to the lowest computed polymorph (kcal/mol of atoms) = 0.00
- total energy (eV per atom) = -4.706
- spin magnetization (μB/cell) = 0.001